# TcTe2Os

A geometry-optimized TcTe2Os structure (PBE, Alexandria).

Its energy above the most stable polymorph in this dataset is 81 meV per atom.

a = 3.0138 Å, b = 3.0138 Å, c = 9.4751 Å
α = 90.00°, β = 90.00°, γ = 90.00°
Fractional positions:
Tc 0.0000 0.0000 0.0000
Te 0.0000 0.0000 0.6093
Te 0.5000 0.5000 0.2179
Os 0.5000 0.5000 0.8358


# Th8Tc3Te4Os

A geometry-optimized Th8Tc3Te4Os structure (PBE, Alexandria).

a = 9.0565 Å, b = 9.0565 Å, c = 9.0565 Å
α = 55.21°, β = 55.21°, γ = 55.21°
Fractional positions:
Th 0.2314 0.7340 0.7340
Th 0.2336 0.2336 0.2336
Th 0.2660 0.2660 0.7686
Th 0.2660 0.7686 0.2660
Th 0.7340 0.2314 0.7340
Th 0.7340 0.7340 0.2314
Th 0.7664 0.7664 0.7664
Th 0.7686 0.2660 0.2660
Tc 0.0000 0.0000 0.5000
Tc 0.0000 0.5000 0.0000
Tc 0.5000 0.0000 0.0000
Te 0.0000 0.0000 0.0000
Te 0.0000 0.5000 0.5000
Te 0.5000 0.0000 0.5000
Te 0.5000 0.5000 0.0000
Os 0.5000 0.5000 0.5000


# Th6Tc2Te3Os

A geometry-optimized Th6Tc2Te3Os structure (PBE, Alexandria).

a = 9.9737 Å, b = 9.9737 Å, c = 9.0561 Å
α = 108.73°, β = 108.73°, γ = 24.30°
Fractional positions:
Th 0.0123 0.0123 0.2231
Th 0.3226 0.3226 0.4450
Th 0.3441 0.3441 0.8882
Th 0.6559 0.6559 0.1118
Th 0.6774 0.6774 0.5550
Th 0.9877 0.9877 0.7769
Tc 0.1653 0.1653 0.3322
Tc 0.8347 0.8347 0.6678
Te 0.1667 0.1667 0.8327
Te 0.5000 0.5000 0.5000
Te 0.8333 0.8333 0.1673
Os 0.5000 0.5000 0.0000


# Th8TcTe4Os3

A geometry-optimized Th8TcTe4Os3 structure (PBE, Alexandria).

a = 9.0821 Å, b = 9.0821 Å, c = 9.0821 Å
α = 55.00°, β = 55.00°, γ = 55.00°
Fractional positions:
Th 0.2325 0.2325 0.2325
Th 0.2345 0.7324 0.7324
Th 0.2676 0.2676 0.7655
Th 0.2676 0.7655 0.2676
Th 0.7324 0.2345 0.7324
Th 0.7324 0.7324 0.2345
Th 0.7655 0.2676 0.2676
Th 0.7675 0.7675 0.7675
Tc 0.5000 0.5000 0.5000
Te 0.0000 0.0000 0.0000
Te 0.0000 0.5000 0.5000
Te 0.5000 0.0000 0.5000
Te 0.5000 0.5000 0.0000
Os 0.0000 0.0000 0.5000
Os 0.0000 0.5000 0.0000
Os 0.5000 0.0000 0.0000


# YTc2TeOs

A geometry-optimized YTc2TeOs structure (PBE, Alexandria).

a = 4.7257 Å, b = 4.7257 Å, c = 5.4715 Å
α = 90.00°, β = 90.00°, γ = 90.00°
Fractional positions:
Y 0.0000 0.0000 0.0000
Tc 0.0000 0.5000 0.5000
Tc 0.5000 0.0000 0.5000
Te 0.5000 0.5000 0.0000
Os 0.0000 0.0000 0.5000


# ThTcOs

A geometry-optimized ThTcOs structure (PBE, Alexandria).

The value obtained for the energy of formation from the pure elements is 195 meV per atom. Its energy above the most stable polymorph in this dataset is 395 meV per atom.

a = 3.9318 Å, b = 15.3273 Å, c = 4.0867 Å
α = 90.00°, β = 90.00°, γ = 90.00°
Fractional positions:
Th 0.0000 0.0897 0.2500
Th 0.0000 0.9103 0.7500
Th 0.5000 0.4103 0.7500
Th 0.5000 0.5897 0.2500
Tc 0.0000 0.3643 0.2500
Tc 0.0000 0.6357 0.7500
Tc 0.5000 0.1357 0.7500
Tc 0.5000 0.8643 0.2500
Os 0.0000 0.2480 0.7500
Os 0.0000 0.7520 0.2500
Os 0.5000 0.2520 0.2500
Os 0.5000 0.7480 0.7500


# Th8TcOs2

A geometry-optimized Th8TcOs2 structure (PBE, Alexandria).

The value obtained for the energy of formation from the pure elements is -59 meV per atom.

a = 7.7158 Å, b = 7.7158 Å, c = 6.1359 Å
α = 100.03°, β = 100.03°, γ = 115.21°
Fractional positions:
Th 0.0000 0.0000 0.0000
Th 0.0224 0.2699 0.5566
Th 0.1423 0.5657 0.1721
Th 0.2699 0.0224 0.5566
Th 0.4635 0.7112 0.7746
Th 0.5657 0.1423 0.1721
Th 0.7112 0.4635 0.7746
Th 0.7325 0.7325 0.3640
Tc 0.3670 0.3670 0.3149
Os 0.0798 0.6807 0.6879
Os 0.6807 0.0798 0.6879


# ThTcOs

A geometry-optimized ThTcOs structure (PBE, Alexandria).

The value obtained for the energy of formation from the pure elements is -52 meV per atom. Its energy above the most stable polymorph in this dataset is 148 meV per atom.

a = 4.1366 Å, b = 4.1366 Å, c = 4.5083 Å
α = 90.00°, β = 90.00°, γ = 120.00°
Fractional positions:
Th 0.0000 0.0000 0.0000
Tc 0.6667 0.3333 0.4466
Os 0.3333 0.6667 0.5616


# ThTcOs

A geometry-optimized ThTcOs structure (PBE, Alexandria).

The value obtained for the energy of formation from the pure elements is -200 meV per atom. Its energy above the most stable polymorph in this dataset is 0 meV per atom.

a = 5.0731 Å, b = 5.6694 Å, c = 8.0975 Å
α = 90.00°, β = 90.00°, γ = 90.00°
Fractional positions:
Th 0.0000 0.2500 0.1238
Th 0.0000 0.7500 0.8762
Th 0.5000 0.2500 0.3762
Th 0.5000 0.7500 0.6238
Tc 0.2500 0.2500 0.7500
Tc 0.2500 0.7500 0.2500
Tc 0.7500 0.2500 0.7500
Tc 0.7500 0.7500 0.2500
Os 0.0000 0.0000 0.5000
Os 0.0000 0.5000 0.5000
Os 0.5000 0.0000 0.0000
Os 0.5000 0.5000 0.0000


# Th2Tc3Os

A geometry-optimized Th2Tc3Os structure (PBE, Alexandria).

The value obtained for the energy of formation from the pure elements is -159 meV per atom.

a = 8.7907 Å, b = 5.6803 Å, c = 5.7766 Å
α = 90.00°, β = 125.65°, γ = 90.00°
Fractional positions:
Th 0.1226 0.0000 0.3722
Th 0.3774 0.5000 0.6278
Th 0.6226 0.5000 0.3722
Th 0.8774 0.0000 0.6278
Tc 0.0000 0.5000 0.0000
Tc 0.2500 0.2500 0.0000
Tc 0.2500 0.7500 0.0000
Tc 0.5000 0.0000 0.0000
Tc 0.7500 0.2500 0.0000
Tc 0.7500 0.7500 0.0000
Os 0.0000 0.5000 0.5000
Os 0.5000 0.0000 0.5000


# TmThTcOs

A geometry-optimized TmThTcOs structure (PBE, Alexandria).

The value obtained for the energy of formation from the pure elements is -165 meV per atom.

a = 6.9219 Å, b = 6.9219 Å, c = 6.9219 Å
α = 90.00°, β = 90.00°, γ = 90.00°
Fractional positions:
Tm 0.0000 0.0000 0.0000
Tm 0.0000 0.5000 0.5000
Tm 0.5000 0.0000 0.5000
Tm 0.5000 0.5000 0.0000
Th 0.0000 0.0000 0.5000
Th 0.0000 0.5000 0.0000
Th 0.5000 0.0000 0.0000
Th 0.5000 0.5000 0.5000
Tc 0.2500 0.2500 0.2500
Tc 0.2500 0.7500 0.7500
Tc 0.7500 0.2500 0.7500
Tc 0.7500 0.7500 0.2500
Os 0.2500 0.2500 0.7500
Os 0.2500 0.7500 0.2500
Os 0.7500 0.2500 0.2500
Os 0.7500 0.7500 0.7500


# ThZrTcOs

A geometry-optimized ThZrTcOs structure (PBE, Alexandria).

The value obtained for the energy of formation from the pure elements is -219 meV per atom.

a = 6.8578 Å, b = 6.8578 Å, c = 6.8578 Å
α = 90.00°, β = 90.00°, γ = 90.00°
Fractional positions:
Th 0.0000 0.0000 0.0000
Th 0.0000 0.5000 0.5000
Th 0.5000 0.0000 0.5000
Th 0.5000 0.5000 0.0000
Zr 0.0000 0.0000 0.5000
Zr 0.0000 0.5000 0.0000
Zr 0.5000 0.0000 0.0000
Zr 0.5000 0.5000 0.5000
Tc 0.2500 0.2500 0.7500
Tc 0.2500 0.7500 0.2500
Tc 0.7500 0.2500 0.2500
Tc 0.7500 0.7500 0.7500
Os 0.2500 0.2500 0.2500
Os 0.2500 0.7500 0.7500
Os 0.7500 0.2500 0.7500
Os 0.7500 0.7500 0.2500


# Ti4TcOs2

A geometry-optimized Ti4TcOs2 structure (PBE, Alexandria).

The value obtained for the energy of formation from the pure elements is -371 meV per atom.

a = 6.1598 Å, b = 6.1598 Å, c = 6.0815 Å
α = 90.00°, β = 90.00°, γ = 90.00°
Fractional positions:
Ti 0.2500 0.2500 0.2500
Ti 0.2500 0.2500 0.7500
Ti 0.2500 0.7500 0.2500
Ti 0.2500 0.7500 0.7500
Ti 0.7500 0.2500 0.2500
Ti 0.7500 0.2500 0.7500
Ti 0.7500 0.7500 0.2500
Ti 0.7500 0.7500 0.7500
Tc 0.0000 0.0000 0.0000
Tc 0.5000 0.5000 0.5000
Os 0.0000 0.5000 0.0000
Os 0.0000 0.5000 0.5000
Os 0.5000 0.0000 0.0000
Os 0.5000 0.0000 0.5000


# Ti6Tc5Os

A geometry-optimized Ti6Tc5Os structure (PBE, Alexandria).

The value obtained for the energy of formation from the pure elements is -538 meV per atom.

a = 7.6016 Å, b = 7.6016 Å, c = 4.3878 Å
α = 106.72°, β = 106.72°, γ = 48.13°
Fractional positions:
Ti 0.0832 0.5837 0.3334
Ti 0.2496 0.7504 0.0000
Ti 0.4163 0.9168 0.6666
Ti 0.5837 0.0832 0.3334
Ti 0.7504 0.2496 0.0000
Ti 0.9168 0.4163 0.6666
Tc 0.0000 0.0000 0.5000
Tc 0.1669 0.1669 0.1669
Tc 0.3338 0.3338 0.8337
Tc 0.6662 0.6662 0.1663
Tc 0.8331 0.8331 0.8331
Os 0.5000 0.5000 0.5000


# Ti5Tc4Os

A geometry-optimized Ti5Tc4Os structure (PBE, Alexandria).

The value obtained for the energy of formation from the pure elements is -537 meV per atom.

a = 3.1000 Å, b = 3.1000 Å, c = 15.5238 Å
α = 90.00°, β = 90.00°, γ = 90.00°
Fractional positions:
Ti 0.0000 0.0000 0.0000
Ti 0.0000 0.0000 0.2007
Ti 0.0000 0.0000 0.3998
Ti 0.0000 0.0000 0.6002
Ti 0.0000 0.0000 0.7993
Tc 0.5000 0.5000 0.1000
Tc 0.5000 0.5000 0.3002
Tc 0.5000 0.5000 0.6998
Tc 0.5000 0.5000 0.9000
Os 0.5000 0.5000 0.5000


# TiTc3Os

A geometry-optimized TiTc3Os structure (PBE, Alexandria).

The value obtained for the energy of formation from the pure elements is 1494 meV per atom. Its energy above the most stable polymorph in this dataset is 0 meV per atom.

a = 4.6500 Å, b = 4.6500 Å, c = 4.6500 Å
α = 90.00°, β = 90.00°, γ = 90.00°
Fractional positions:
Ti 0.0000 0.0000 0.0000
Tc 0.0000 0.5000 0.5000
Tc 0.5000 0.0000 0.5000
Tc 0.5000 0.5000 0.0000
Os 0.5000 0.5000 0.5000


# TiTcOs2

A geometry-optimized TiTcOs2 structure (PBE, Alexandria).

The value obtained for the energy of formation from the pure elements is 1311 meV per atom. Its energy above the most stable polymorph in this dataset is 1284 meV per atom.

a = 5.6119 Å, b = 5.6119 Å, c = 11.3453 Å
α = 90.00°, β = 90.00°, γ = 90.00°
Fractional positions:
Ti 0.0000 0.0000 0.0000
Ti 0.0000 0.5000 0.2500
Ti 0.5000 0.0000 0.7500
Ti 0.5000 0.5000 0.5000
Tc 0.0000 0.0000 0.5000
Tc 0.0000 0.5000 0.7500
Tc 0.5000 0.0000 0.2500
Tc 0.5000 0.5000 0.0000
Os 0.2349 0.2500 0.6250
Os 0.2500 0.7349 0.8750
Os 0.2500 0.7651 0.3750
Os 0.2651 0.2500 0.1250
Os 0.7349 0.7500 0.1250
Os 0.7500 0.2349 0.3750
Os 0.7500 0.2651 0.8750
Os 0.7651 0.7500 0.6250


# Ti4TcOs3

A geometry-optimized Ti4TcOs3 structure (PBE, Alexandria).

The value obtained for the energy of formation from the pure elements is -674 meV per atom.

a = 3.0893 Å, b = 4.3820 Å, c = 8.7537 Å
α = 90.00°, β = 90.00°, γ = 90.00°
Fractional positions:
Ti 0.0000 0.0000 0.0000
Ti 0.0000 0.0000 0.5000
Ti 0.0000 0.5000 0.2481
Ti 0.0000 0.5000 0.7519
Tc 0.5000 0.5000 0.0000
Os 0.5000 0.0000 0.2514
Os 0.5000 0.0000 0.7486
Os 0.5000 0.5000 0.5000


# Ti5TcOs4

A geometry-optimized Ti5TcOs4 structure (PBE, Alexandria).

The value obtained for the energy of formation from the pure elements is -680 meV per atom.

a = 3.0904 Å, b = 3.0904 Å, c = 15.5032 Å
α = 90.00°, β = 90.00°, γ = 90.00°
Fractional positions:
Ti 0.0000 0.0000 0.0000
Ti 0.0000 0.0000 0.2010
Ti 0.0000 0.0000 0.4015
Ti 0.0000 0.0000 0.5985
Ti 0.0000 0.0000 0.7990
Tc 0.5000 0.5000 0.5000
Os 0.5000 0.5000 0.0995
Os 0.5000 0.5000 0.2988
Os 0.5000 0.5000 0.7012
Os 0.5000 0.5000 0.9005


# Ti4TcOs

A geometry-optimized Ti4TcOs structure (PBE, Alexandria).

The value obtained for the energy of formation from the pure elements is -414 meV per atom. Its energy above the most stable polymorph in this dataset is 0 meV per atom.

a = 3.1220 Å, b = 3.1220 Å, c = 9.5973 Å
α = 90.00°, β = 90.00°, γ = 90.00°
Fractional positions:
Ti 0.0000 0.0000 0.1533
Ti 0.0000 0.0000 0.8467
Ti 0.5000 0.5000 0.3436
Ti 0.5000 0.5000 0.6564
Tc 0.5000 0.5000 0.0000
Os 0.0000 0.0000 0.5000


# Ti2Tc2Os

A geometry-optimized Ti2Tc2Os structure (PBE, Alexandria).

The value obtained for the energy of formation from the pure elements is 100 meV per atom. Its energy above the most stable polymorph in this dataset is 274 meV per atom.

a = 7.0730 Å, b = 7.0730 Å, c = 3.1043 Å
α = 90.00°, β = 90.00°, γ = 90.00°
Fractional positions:
Ti 0.1897 0.3103 0.0000
Ti 0.3103 0.8103 0.0000
Ti 0.6897 0.1897 0.0000
Ti 0.8103 0.6897 0.0000
Tc 0.1207 0.6207 0.5000
Tc 0.3793 0.1207 0.5000
Tc 0.6207 0.8793 0.5000
Tc 0.8793 0.3793 0.5000
Os 0.0000 0.0000 0.5000
Os 0.5000 0.5000 0.5000


# Ti2Tc2Os

A geometry-optimized Ti2Tc2Os structure (PBE, Alexandria).

The value obtained for the energy of formation from the pure elements is -174 meV per atom. Its energy above the most stable polymorph in this dataset is 0 meV per atom.

a = 3.0938 Å, b = 16.4676 Å, c = 3.0398 Å
α = 90.00°, β = 90.00°, γ = 90.00°
Fractional positions:
Ti 0.0000 0.0952 0.0000
Ti 0.0000 0.9048 0.0000
Ti 0.5000 0.4048 0.0000
Ti 0.5000 0.5952 0.0000
Tc 0.0000 0.3088 0.5000
Tc 0.0000 0.6912 0.5000
Tc 0.5000 0.1912 0.5000
Tc 0.5000 0.8088 0.5000
Os 0.0000 0.5000 0.5000
Os 0.5000 0.0000 0.5000


# Ti4TcOs

A geometry-optimized Ti4TcOs structure (PBE, Alexandria).

The value obtained for the energy of formation from the pure elements is -20 meV per atom. Its energy above the most stable polymorph in this dataset is 393 meV per atom.

a = 7.4256 Å, b = 4.2762 Å, c = 7.3444 Å
α = 90.00°, β = 109.58°, γ = 90.00°
Fractional positions:
Ti 0.1247 0.0000 0.3742
Ti 0.1252 0.5000 0.8757
Ti 0.3748 0.0000 0.1243
Ti 0.3753 0.5000 0.6258
Ti 0.6252 0.0000 0.8757
Ti 0.6247 0.5000 0.3742
Ti 0.8753 0.0000 0.6258
Ti 0.8748 0.5000 0.1243
Tc 0.0000 0.0000 0.0000
Tc 0.5000 0.5000 0.0000
Os 0.0000 0.5000 0.5000
Os 0.5000 0.0000 0.5000


# Ti3Tc2Os

A geometry-optimized Ti3Tc2Os structure (PBE, Alexandria).

The value obtained for the energy of formation from the pure elements is -569 meV per atom.

a = 3.0934 Å, b = 3.0934 Å, c = 9.3415 Å
α = 90.00°, β = 90.00°, γ = 90.00°
Fractional positions:
Ti 0.0000 0.0000 0.0000
Ti 0.0000 0.0000 0.3331
Ti 0.0000 0.0000 0.6669
Tc 0.5000 0.5000 0.1670
Tc 0.5000 0.5000 0.8330
Os 0.5000 0.5000 0.5000


# TiTc3Os

A geometry-optimized TiTc3Os structure (PBE, Alexandria).

The value obtained for the energy of formation from the pure elements is 1610 meV per atom. Its energy above the most stable polymorph in this dataset is 116 meV per atom.

a = 4.4035 Å, b = 4.4035 Å, c = 4.4035 Å
α = 90.00°, β = 90.00°, γ = 90.00°
Fractional positions:
Ti 0.0000 0.0000 0.0000
Tc 0.0000 0.0000 0.5000
Tc 0.0000 0.5000 0.0000
Tc 0.5000 0.0000 0.0000
Os 0.5000 0.5000 0.5000


Results for ρ: 10.485, 10.143, 10.250, 10.767, 8.191, 14.032, 12.404, 12.932, 14.838, 13.437, 13.803, 12.593, 9.642, 8.965, 9.145, 8.788, 9.784, 12.053, 12.317, 8.516, 10.307, 10.336, 7.251, 9.843, 10.348 (in g cm⁻³, following the order of the records).
Results for uncorrected energy: -6.603, -7.788, -7.827, -8.025, -7.503, -9.477, -8.440, -9.724, -9.872, -9.687, -8.537, -9.610, -9.572, -9.740, -9.754, -8.550, -8.869, -10.128, -10.156, -9.276, -9.450, -9.724, -8.883, -9.843, -8.434 (in eV per atom, following the order of the records).
Results for total magnetic moment: 0.00, 0.00, 0.00, 0.00, 2.30, 0.00, 0.00, 0.00, 0.00, 0.00, 0.00, 0.00, 0.00, 0.00, 0.00, 0.00, 0.00, 0.00, 0.00, 0.00, 0.00, 0.00, 0.00, 0.00, 0.21 (in μB per cell, following the order of the records).